LaIrBr2 | PBE-GGA | optimized geometry

Computed properties:
SG = P2/m (10)
crystal system = monoclinic
V = 101.6 Å³/cell
formation energy without anion corrections = -381 meV per atom

abc: 4.5247 4.7651 4.7505
angles: 82.84 90.00 90.00
Last column: nearest neighbours and their distance in Å.
Fractional positions:
Br 0.0000 0.4680 0.4679  2 Ir 2.75, 2 La 3.03
Br 0.0000 0.0320 0.0321  2 Ir 2.75, 2 La 3.03
Ir 0.5000 0.2500 0.2500  4 Br 2.75
La 0.5000 0.7500 0.7500  4 Br 3.03, 2 Ir 3.15

SrYPt | PBE-GGA | optimized geometry

Computed properties:
SG = P-62m (189)
crystal system = hexagonal
DFT formation energy = -70.5 kJ/mol of atoms
V = 504.9 Å³/cell

abc: 7.7939 9.1524 9.1524
angles: 63.25 64.80 64.80
Last column: nearest neighbours and their distance in Å.
Fractional positions:
Y 0.2570 0.3738 0.3743  4 Pt 2.97-3.10
Y 0.0051 0.1257 0.1262  4 Pt 2.97-3.10
Y 0.0051 0.6262 0.6257  4 Pt 2.97-3.10
Y 0.5085 0.5000 0.5000  4 Pt 2.97-3.10
Y 0.5085 0.0000 0.0000  4 Pt 2.97-3.10
Y 0.2570 0.8743 0.8738  4 Pt 2.97-3.10
Pt 0.9235 0.8336 0.8333  3 Y 2.97
Pt 0.9235 0.3333 0.3336  3 Y 2.97
Pt 0.2568 0.7499 0.2499  6 Y 3.10, 3 Sr 3.22
Pt 0.2566 0.2501 0.7501  6 Y 3.10, 3 Sr 3.22
Pt 0.5904 0.1664 0.1667  3 Y 2.97
Pt 0.5904 0.6667 0.6664  3 Y 2.97
Sr 0.8439 0.2501 0.7501  5 Pt 3.22-3.36, 2 Y 3.55
Sr 0.2569 0.4564 0.9564  5 Pt 3.22-3.36, 2 Y 3.55
Sr 0.8442 0.7499 0.2499  5 Pt 3.22-3.36, 2 Y 3.55
Sr 0.6697 0.0437 0.5437  5 Pt 3.22-3.36, 2 Y 3.55
Sr 0.6697 0.5436 0.0436  5 Pt 3.22-3.36, 2 Y 3.55
Sr 0.2572 0.9563 0.4563  5 Pt 3.22-3.36, 2 Y 3.55

ZnAgOs2C | PBE-GGA | optimized geometry

Computed properties:
SG = P4/mmm (123)
crystal system = tetragonal
DFT formation energy = 281.8 kJ/mol of atoms
V = 93.7 Å³/cell

abc: 5.0304 3.7039 5.0304
angles: 90.00 90.00 90.00
Last column: nearest neighbours and their distance in Å.
Fractional positions:
Os 0.5000 0.0000 0.0000  2 Ag 2.52
Os 0.0000 0.0000 0.5000  2 Ag 2.52
C 0.0000 0.5000 0.0000  2 Ag 1.85
Ag 0.0000 0.0000 0.0000  2 C 1.85
Zn 0.5000 0.5000 0.5000  8 Os 3.12

Cr2TcI | PBE-GGA | optimized geometry

Computed properties:
SG = Fm-3m (225)
crystal system = cubic
V = 59.5 Å³/cell
formation energy without anion corrections = 1036 meV per atom

abc: 4.3814 4.3814 4.3814
angles: 60.00 60.00 60.00
Last column: nearest neighbours and their distance in Å.
Fractional positions:
Cr 0.2500 0.2500 0.2500  4 Tc 2.68, 4 I 2.68
Cr 0.7500 0.7500 0.7500  4 I 2.68, 4 Tc 2.68
I 0.5000 0.5000 0.5000  8 Cr 2.68
Tc 0.0000 0.0000 0.0000  8 Cr 2.68

ScPbBr2 | PBE-GGA | optimized geometry

Computed properties:
SG = Cmmm (65)
crystal system = orthorhombic
V = 131.1 Å³/cell
formation energy without anion corrections = -775 meV per atom

abc: 3.6380 3.6380 11.6067
angles: 90.00 90.00 121.40
Last column: nearest neighbours and their distance in Å.
Fractional positions:
Pb 0.5000 0.5000 0.2500  6 Pb 3.56-3.64
Br 0.0000 0.0000 0.9196  2 Sc 2.65
Br 0.0000 0.0000 0.5804  2 Sc 2.65
Sc 0.5000 0.5000 0.7500  4 Br 2.65

Ca3Pm3ZnSe8 | PBE-GGA | optimized geometry

Computed properties:
SG = R-3m (166)
crystal system = trigonal
V = 411.8 Å³/cell
formation energy without anion corrections = -1700 meV per atom

abc: 8.3184 8.3180 8.3846
angles: 119.74 90.00 120.00
Last column: nearest neighbours and their distance in Å.
Fractional positions:
Se 0.2359 0.4718 0.7345  1 Zn 2.79, 2 Pm 2.95, 2 Ca 2.97
Se 0.7641 0.5282 0.2655  1 Zn 2.79, 2 Pm 2.95, 2 Ca 2.97
Se 0.2494 0.4988 0.2480  3 Ca 2.94-2.95, 3 Pm 2.96
Se 0.7623 0.9986 0.7349  1 Zn 2.79, 2 Pm 2.95, 2 Ca 2.97
Se 0.7506 0.5012 0.7520  3 Ca 2.94-2.95, 3 Pm 2.96
Se 0.2377 0.0014 0.2651  1 Zn 2.79, 2 Pm 2.95, 2 Ca 2.97
Se 0.7637 0.0014 0.2651  1 Zn 2.79, 2 Pm 2.95, 2 Ca 2.97
Se 0.2363 0.9986 0.7349  1 Zn 2.79, 2 Pm 2.95, 2 Ca 2.97
Pm 0.5000 0.5000 0.5000  6 Se 2.95-2.96
Pm 0.5000 0.0000 0.5000  6 Se 2.95-2.96
Pm 0.0000 0.5000 0.5000  6 Se 2.95-2.96
Zn 0.0000 0.0000 0.5000  6 Se 2.79
Ca 0.0000 0.5000 0.0000  6 Se 2.94-2.97
Ca 0.0000 0.0000 0.0000  6 Se 2.95-2.97
Ca 0.5000 0.5000 0.0000  6 Se 2.94-2.97

RbMnFe2 | PBE-GGA | optimized geometry

Computed properties:
SG = Fm-3m (225)
crystal system = cubic
DFT formation energy = 199.6 kJ/mol of atoms
V = 59.0 Å³/cell

abc: 4.3698 4.3698 4.3698
angles: 60.00 60.00 60.00
Last column: nearest neighbours and their distance in Å.
Fractional positions:
Fe 0.2500 0.2500 0.2500  4 Rb 2.68, 4 Mn 2.68
Fe 0.7500 0.7500 0.7500  4 Mn 2.68, 4 Rb 2.68
Rb 0.5000 0.5000 0.5000  8 Fe 2.68
Mn 0.0000 0.0000 0.0000  8 Fe 2.68

LiCa2TmSe4 | PBE-GGA | optimized geometry

Computed properties:
SG = P2/m (10)
crystal system = monoclinic
V = 196.4 Å³/cell
formation energy without anion corrections = -1828 meV per atom

abc: 4.1282 7.0855 7.0886
angles: 108.72 90.00 90.00
Last column: nearest neighbours and their distance in Å.
Fractional positions:
Se 0.5000 0.7541 0.7651  1 Li 2.82, 2 Tm 2.86, 3 Ca 2.94-2.98
Se 0.5000 0.2459 0.2349  1 Li 2.82, 2 Tm 2.86, 3 Ca 2.94-2.98
Se 0.0000 0.2493 0.7607  1 Tm 2.81, 2 Li 2.89, 3 Ca 2.95
Se 0.0000 0.7507 0.2393  1 Tm 2.81, 2 Li 2.89, 3 Ca 2.95
Tm 0.0000 0.0000 0.0000  6 Se 2.81-2.86
Ca 0.5000 0.0000 0.5000  6 Se 2.94-2.95
Ca 0.0000 0.5000 0.5000  6 Se 2.95-2.98
Li 0.5000 0.5000 0.0000  6 Se 2.82-2.89

TcOsRuRh2 | PBE-GGA | optimized geometry

Computed properties:
SG = P4/mmm (123)
crystal system = tetragonal
DFT formation energy = 190.3 kJ/mol of atoms
V = 95.9 Å³/cell

abc: 4.5961 4.5381 4.5961
angles: 90.00 90.00 90.00
Last column: nearest neighbours and their distance in Å.
Fractional positions:
Os 0.5000 0.5000 0.5000  8 Rh 3.23, 4 Ru 3.25
Rh 0.5000 0.0000 0.0000  2 Tc 2.30
Rh 0.0000 0.0000 0.5000  2 Tc 2.30
Ru 0.0000 0.5000 0.0000  2 Tc 2.27
Tc 0.0000 0.0000 0.0000  2 Ru 2.27, 4 Rh 2.30

Li2MgAs | PBE-GGA | optimized geometry

Computed properties:
SG = R3m (160)
crystal system = trigonal
DFT formation energy = -48.4 kJ/mol of atoms
V = 451.9 Å³/cell

abc: 4.3209 4.3209 27.9495
angles: 90.00 90.00 120.00
Last column: nearest neighbours and their distance in Å.
Fractional positions:
Mg 0.3333 0.6667 0.2029  3 As 2.75, 6 Li 2.93-3.03
Mg 0.6667 0.3333 0.3393  4 As 2.65-2.80, 1 Li 2.88
Mg 0.3333 0.6667 0.6726  4 As 2.65-2.80, 1 Li 2.88
Mg 0.6667 0.3333 0.8696  3 As 2.75, 6 Li 2.93-3.03
Mg 0.0000 0.0000 0.5362  3 As 2.75, 6 Li 2.93-3.03
Mg 0.0000 0.0000 0.0059  4 As 2.65-2.80, 1 Li 2.88
Li 0.3333 0.6667 0.9313  3 As 2.56
Li 0.0000 0.0000 0.1088  6 Li 2.65-2.72, 1 Mg 2.88
Li 0.3333 0.6667 0.0773  3 As 2.60, 3 Li 2.65
Li 0.3333 0.6667 0.4813  2 As 2.70, 3 Li 2.72, 3 Mg 2.93
Li 0.6667 0.3333 0.7439  3 As 2.60, 3 Li 2.65
Li 0.0000 0.0000 0.8147  2 As 2.70, 3 Li 2.72, 3 Mg 2.93
Li 0.6667 0.3333 0.5980  3 As 2.56
Li 0.3333 0.6667 0.7755  6 Li 2.65-2.72, 1 Mg 2.88
Li 0.6667 0.3333 0.4421  6 Li 2.65-2.72, 1 Mg 2.88
Li 0.0000 0.0000 0.4106  3 As 2.60, 3 Li 2.65
Li 0.6667 0.3333 0.1480  2 As 2.70, 3 Li 2.72, 3 Mg 2.93
Li 0.0000 0.0000 0.2647  3 As 2.56
As 0.0000 0.0000 0.7179  4 Li 2.60-2.70, 3 Mg 2.80
As 0.0000 0.0000 0.9113  4 Li 2.56-2.70, 4 Mg 2.65-2.75
As 0.6667 0.3333 0.0513  4 Li 2.60-2.70, 3 Mg 2.80
As 0.6667 0.3333 0.2446  4 Li 2.56-2.70, 4 Mg 2.65-2.75
As 0.3333 0.6667 0.5780  4 Li 2.56-2.70, 4 Mg 2.65-2.75
As 0.3333 0.6667 0.3846  4 Li 2.60-2.70, 3 Mg 2.80

BeZnFe | PBE-GGA | optimized geometry

Computed properties:
SG = I4mm (107)
crystal system = tetragonal
DFT formation energy = 2.0 kJ/mol of atoms
V = 33.3 Å³/cell

abc: 5.1991 5.1991 2.6185
angles: 75.41 75.42 29.17
Last column: nearest neighbours and their distance in Å.
Fractional positions:
Zn 0.3408 0.3408 0.6592  4 Be 2.46, 4 Fe 2.61, 4 Zn 2.62
Fe 0.6518 0.6518 0.3482  4 Be 2.32
Be 0.0073 0.0073 0.9927  4 Fe 2.32, 4 Zn 2.46